No. 1
Computed, not measured: Dy3Pa5As8 after structural relaxation at the PBE level of DFT.

Cell: 8.190 8.190 8.198 Å, 60.03 60.03 60.00°
Positions (direct):
Dy: 0.000 0.000 0.500
As: 0.250 0.750 0.250
As: 0.750 0.250 0.750
As: 0.250 0.750 0.750
As: 0.749 0.749 0.752
Pa: 0.000 0.000 0.000
Pa: 0.500 0.500 0.000
As: 0.750 0.750 0.250
Pa: 0.500 0.500 0.500
Dy: 0.500 0.000 0.500
As: 0.250 0.250 0.750
Dy: 0.000 0.500 0.500
As: 0.251 0.251 0.248
Pa: 0.000 0.500 0.000
Pa: 0.500 0.000 0.000
As: 0.750 0.250 0.250

Summary:
VASP energy, eV per atom: -7.377
Energy of formation, eV/atom: -1.222

No. 2
Computed, not measured: DyPa4As5 after structural relaxation at the PBE level of DFT.

Cell: 5.790 7.093 7.093 Å, 80.41 65.91 65.91°
Positions (direct):
Pa: 0.801 0.801 0.600
Dy: 0.001 0.000 0.000
Pa: 0.201 0.199 0.400
As: 0.300 0.800 0.601
As: 0.501 0.000 0.000
Pa: 0.602 0.600 0.199
As: 0.101 0.601 0.200
As: 0.901 0.399 0.800
As: 0.702 0.200 0.399
Pa: 0.400 0.400 0.801

Summary:
VASP energy, eV per atom: -7.730
Energy of formation, eV/atom: -1.147

No. 3
Computed, not measured: DyPaAs after structural relaxation at the PBE level of DFT.

Cell: 3.620 4.919 4.919 Å, 120.00 90.00 90.00°
Each line ends with the local moment (μB).
Positions (direct):
Pa: 0.257 0.667 0.333  0.61
As: 0.977 0.000 0.000  -0.01
Dy: 0.765 0.333 0.667  0.14

Summary:
VASP energy, eV per atom: -6.400
Energy of formation, eV/atom: -0.151
E above lowest polymorph, kcal/mol of atoms: 8.857

No. 4
Computed, not measured: Pm2DyPaAs4 after structural relaxation at the PBE level of DFT.

Cell: 4.171 7.194 7.230 Å, 109.43 90.00 90.00°
Positions (direct):
Pm: 0.500 0.000 0.500
As: 0.500 0.750 0.761
Pa: 0.500 0.500 0.000
As: 0.000 0.744 0.239
Dy: 0.000 0.000 0.000
As: 0.500 0.250 0.239
As: 0.000 0.256 0.761
Pm: 0.000 0.500 0.500

Summary:
VASP energy, eV per atom: -6.695
Energy of formation, eV/atom: -1.420

no.,DOS(E_F) (states/eV/cell)
1,17.6
2,12.1
3,5.7
4,5.3